Entry 1:
! Re7Pb6 | Alexandria | PBE-GGA | relaxed; values from VASP
&SYSTEM
  ibrav = 0, nat = 13, ntyp = 2
/
ATOMIC_SPECIES
Pb 207.20 Pb.upf
Re 186.21 Re.upf
CELL_PARAMETERS angstrom
-0.2615 11.5434 3.9385
-2.4405 11.9212 -0.8706
-5.3951 10.4432 3.2651
ATOMIC_POSITIONS crystal
Pb 0.0541 0.0541 0.0541
Pb 0.9459 0.9459 0.9459
Pb 0.1484 0.1484 0.1484
Pb 0.8516 0.8516 0.8516
Pb 0.3600 0.3600 0.3600
Pb 0.6400 0.6400 0.6400
Re 0.6068 0.0936 0.6068
Re 0.6068 0.6068 0.0936
Re 0.0936 0.6068 0.6068
Re 0.3932 0.9064 0.3932
Re 0.9064 0.3932 0.3932
Re 0.3932 0.3932 0.9064
Re 0.5000 0.5000 0.5000
! Formation enthalpy at 0 K = 0.790 eV per atom
! Space-group type = No. 166


Entry 2:
! FeNiP2Os | Alexandria | PBE-GGA | relaxed; values from VASP
&SYSTEM
  ibrav = 0, nat = 5, ntyp = 4
/
ATOMIC_SPECIES
Ni 58.69 Ni.upf
Os 190.23 Os.upf
Fe 55.84 Fe.upf
P 30.97 P.upf
CELL_PARAMETERS angstrom
-3.1477 0.9888 2.5171
0.8801 -3.3895 2.4320
2.5651 2.3151 2.2983
ATOMIC_POSITIONS crystal
Ni 0.0000 0.5000 0.0000
Os 0.5000 0.5000 0.5000
Fe 0.0000 0.0000 0.0000
P 0.0000 0.0000 0.5000
P 0.5000 0.0000 0.0000
! Formation enthalpy at 0 K = 1.058 eV per atom
! Space-group type = No. 123


Entry 3:
! NdSmCuRh | Alexandria | PBE-GGA | relaxed; values from VASP
&SYSTEM
  ibrav = 0, nat = 4, ntyp = 4
/
ATOMIC_SPECIES
Nd 144.24 Nd.upf
Sm 150.36 Sm.upf
Cu 63.55 Cu.upf
Rh 102.91 Rh.upf
CELL_PARAMETERS angstrom
3.9103 0.0000 0.0000
0.0000 4.4546 0.0000
-1.9551 0.0000 5.3103
ATOMIC_POSITIONS crystal
Nd 0.1410 0.0000 0.2821
Sm 0.8645 0.5000 0.7289
Cu 0.5743 0.5000 0.1487
Rh 0.4202 0.0000 0.8404
! Relative energy among the computed polymorphs = 0.000 eV per formula unit
! Formation enthalpy at 0 K = -0.486 eV per atom
! Space-group type = No. 38


Entry 4:
! Li2TeAs | Alexandria | PBE-GGA | relaxed; values from VASP
&SYSTEM
  ibrav = 0, nat = 4, ntyp = 3
/
ATOMIC_SPECIES
As 74.92 As.upf
Te 127.60 Te.upf
Li 6.94 Li.upf
CELL_PARAMETERS angstrom
0.0000 3.3997 3.3997
3.3997 0.0000 3.3997
3.3997 3.3997 0.0000
ATOMIC_POSITIONS crystal
As 0.0000 0.0000 0.0000
Te 0.5000 0.5000 0.5000
Li 0.2500 0.2500 0.2500
Li 0.7500 0.7500 0.7500
! Relative energy among the computed polymorphs = 0.405 eV per formula unit
! Formation energy (no corrections) = -405 meV per atom
! Space-group type = No. 225


Entry 5:
! Cs2BaGa2I6 | Alexandria | PBE-GGA | relaxed; values from VASP
&SYSTEM
  ibrav = 0, nat = 11, ntyp = 4
/
ATOMIC_SPECIES
Cs 132.91 Cs.upf
Ba 137.33 Ba.upf
Ga 69.72 Ga.upf
I 126.90 I.upf
CELL_PARAMETERS angstrom
-1.8929 -2.7925 7.9512
-2.3105 -4.7650 -6.9148
9.4836 -0.5454 2.0662
ATOMIC_POSITIONS crystal
Cs 0.6981 0.3962 0.1830
Cs 0.3019 0.6038 0.8170
Ba 0.5000 0.0000 0.5000
Ga 0.9359 0.8718 0.5806
Ga 0.0641 0.1282 0.4194
I 0.7524 0.5049 0.6342
I 0.1974 0.9064 0.1984
I 0.2909 0.0936 0.8016
I 0.8026 0.0936 0.8016
I 0.7091 0.9064 0.1984
I 0.2476 0.4951 0.3658
! Formation energy (no corrections) = -1133 meV per atom
! Space-group type = No. 12


Entry 6:
! Cs3CdRe | Alexandria | PBE-GGA | relaxed; values from VASP
&SYSTEM
  ibrav = 0, nat = 5, ntyp = 3
/
ATOMIC_SPECIES
Cs 132.91 Cs.upf
Re 186.21 Re.upf
Cd 112.41 Cd.upf
CELL_PARAMETERS angstrom
-4.7263 3.0413 -4.5739
-0.2992 -6.1677 -3.7919
-5.4846 -2.2844 4.1484
ATOMIC_POSITIONS crystal
Cs 0.0000 0.5000 0.0000
Cs 0.0000 0.0000 0.5000
Cs 0.5000 0.0000 0.0000
Re 0.5000 0.5000 0.5000
Cd 0.0000 0.0000 0.0000
! Formation enthalpy at 0 K = 1.439 eV per atom
! Space-group type = No. 221


The records above give, respectively, mass density values of 14.8, 8.3, 8.3, 4.6, 3.8, 3.0 Mg/m³.